DFT (PBE-GGA) results for an optimized crystal structure of AlCu3Pb.

Cell lengths 4.960, 4.960, 4.960 Å; angles 90.00, 90.00, 90.00 degrees
Space group Pm-3m (No. 221)
Asymmetric unit:
Al 0.000 0.000 0.000 (multiplicity 1)
Cu 0.000 0.500 0.500 (multiplicity 3)
Pb 0.500 0.500 0.500 (multiplicity 1)

Output
Spin magnetization: 0.0 μB/f.u.
DOS(E_F): 0.1798 states/eV per atom
DFT formation energy: 0.9427 eV per atom
Energy above the most stable polymorph in this dataset: 494 meV per atom

DFT (PBE-GGA) results for an optimized crystal structure of MnVSb2As.

Cell lengths 5.462, 5.462, 4.609 Å; angles 90.00, 90.00, 90.00 degrees
Space group P4/mmm (No. 123)
Asymmetric unit:
Mn 0.000 0.000 0.000 (multiplicity 1)
V 0.500 0.500 0.000 (multiplicity 1)
Sb 0.000 0.500 0.500 (multiplicity 2)
As 0.500 0.500 0.500 (multiplicity 1)

Output
Spin magnetization: 6.9 μB/f.u.
DOS(E_F): 0.5471 states/eV per atom
E_form (uncorrected): 0.9065 eV per atom

DFT (PBE-GGA) results for an optimized crystal structure of KScMn2.

Cell lengths 3.194, 5.725, 10.455 Å; angles 90.00, 90.00, 90.00 degrees
Space group Immm (No. 71)
Asymmetric unit:
K 0.000 0.000 0.000 (multiplicity 2)
Sc 0.000 0.000 0.500 (multiplicity 2)
Mn 0.000 0.500 0.222 (multiplicity 4)

Output
Spin magnetization: 6.7 μB/f.u.
DOS(E_F): 0.9900 states/eV per atom
DFT formation energy: 0.9876 eV per atom
Energy above the most stable polymorph in this dataset: 545 meV per atom